# 1
Crystalline CoAs2I at its relaxed geometry, computed with GGA-PBE.

Cell lengths 4.8147, 4.8147, 4.8147 Å; angles 60.00, 60.00, 60.00 degrees
Element x y z (fractional)
Co 0.0000 0.0000 0.0000
As 0.2500 0.2500 0.2500
As 0.7500 0.7500 0.7500
I 0.5000 0.5000 0.5000

Output
energy relative to the lowest polymorph listed for this composition: 828 meV per atom
E_form (uncorrected): 0.994 eV per atom
space group: No. 225



# 2
Crystalline CdAsPbI2 at its relaxed geometry, computed with GGA-PBE.

Cell lengths 6.2809, 6.2809, 5.7650 Å; angles 90.00, 90.00, 90.00 degrees
Element x y z (fractional)
Cd 0.0000 0.0000 0.0000
As 0.5000 0.5000 0.0000
Pb 0.5000 0.5000 0.5000
I 0.0000 0.5000 0.5000
I 0.5000 0.0000 0.5000

Output
E_form (uncorrected): 0.290 eV per atom
space group: No. 123



# 3
Crystalline Ba2SrCa2 at its relaxed geometry, computed with GGA-PBE.

Cell lengths 11.9176, 11.9176, 11.9176 Å; angles 155.81, 155.81, 34.48 degrees
Element x y z (fractional)
Ba 0.1034 0.1034 0.0000
Ba 0.8966 0.8966 0.0000
Sr 0.5000 0.5000 0.0000
Ca 0.2500 0.7500 0.5000
Ca 0.7500 0.2500 0.5000

Output
energy relative to the lowest polymorph listed for this composition: 94 meV per atom
formation energy from the elements: 0.1998 eV/atom
space group: No. 139



# 4
Crystalline NiI at its relaxed geometry, computed with GGA-PBE.

Cell lengths 9.6441, 9.6441, 4.1062 Å; angles 90.00, 90.00, 120.00 degrees
Element x y z (fractional)
Ni 0.0120 0.4264 0.2500
Ni 0.4145 0.9880 0.2500
Ni 0.4264 0.4145 0.7500
Ni 0.5736 0.5855 0.2500
Ni 0.5855 0.0120 0.7500
Ni 0.9880 0.5736 0.7500
I 0.1241 0.7334 0.2500
I 0.2666 0.3907 0.2500
I 0.3907 0.1241 0.7500
I 0.6093 0.8759 0.2500
I 0.7334 0.6093 0.7500
I 0.8759 0.2666 0.7500

Output
E_form (uncorrected): 0.107 eV per atom
space group: No. 176



Raw total energy values, unit eV per atom, following the record order: -3.49 -2.18 -1.71 -3.56.